# 1
ThCr2B6: optimized geometry, GGA-PBEsol.

Unit cell a=3.089 b=5.498 c=5.498 alpha=72.44 beta=73.68 gamma=73.68
Fractional coordinates of all 9 atoms:
Cr (0.846, 0.654, 0.654)
Cr (0.154, 0.346, 0.346)
B (0.697, 0.540, 0.067)
B (0.303, 0.460, 0.933)
B (0.303, 0.933, 0.460)
B (0.500, 0.359, 0.641)
B (0.500, 0.641, 0.359)
B (0.697, 0.067, 0.540)
Th (0.000, 0.000, 0.000)

Values from the calculation:
energy of formation from the pure elements: -658 meV/atom



# 2
Mn2IrAu: optimized geometry, GGA-PBEsol.

Unit cell a=2.683 b=2.683 c=7.535 alpha=90.00 beta=90.00 gamma=90.00
Last column: magnetic moment on the atom in μB.
Fractional coordinates of all 4 atoms:
Au (0.000, 0.000, 0.491)  0.09
Ir (0.500, 0.500, 0.785)  0.13
Mn (0.000, 0.000, 0.999)  -0.89
Mn (0.500, 0.500, 0.225)  2.94

Values from the calculation:
energy above the lowest structure with this stoichiometry: 68 meV per atom
energy of formation from the pure elements: 155 meV/atom



# 3
ScMnAg2: optimized geometry, GGA-PBEsol.

Unit cell a=2.941 b=2.941 c=9.229 alpha=80.83 beta=80.83 gamma=60.02
Last column: magnetic moment on the atom in μB.
Fractional coordinates of all 4 atoms:
Ag (0.001, 0.001, 0.996)  0.01
Ag (0.753, 0.753, 0.741)  0.04
Mn (0.500, 0.500, 0.501)  3.23
Sc (0.246, 0.246, 0.263)  -0.28

Values from the calculation:
energy above the lowest structure with this stoichiometry: 167 meV per atom
energy of formation from the pure elements: 208 meV/atom



# 4
CdHg2Pb: optimized geometry, GGA-PBEsol.

Unit cell a=3.451 b=3.451 c=8.041 alpha=90.00 beta=90.00 gamma=90.00
Fractional coordinates of all 4 atoms:
Pb (0.500, 0.500, 0.000)
Hg (0.000, 0.000, 0.726)
Hg (0.000, 0.000, 0.274)
Cd (0.500, 0.500, 0.500)

Values from the calculation:
energy of formation from the pure elements: 4 meV/atom



# 5
NiRuPt: optimized geometry, GGA-PBEsol.

Unit cell a=2.663 b=2.663 c=5.788 alpha=103.30 beta=103.30 gamma=90.00
Fractional coordinates of all 3 atoms:
Ru (0.342, 0.342, 0.683)
Pt (0.664, 0.664, 0.328)
Ni (0.994, 0.994, 0.988)

Values from the calculation:
energy above the lowest structure with this stoichiometry: 0 meV per atom
energy of formation from the pure elements: 37 meV/atom



# 6
Tl2SbP: optimized geometry, GGA-PBEsol.

Unit cell a=3.023 b=5.726 c=5.780 alpha=90.00 beta=90.34 gamma=90.00
Fractional coordinates of all 4 atoms:
P (0.500, 0.500, 0.000)
Sb (0.500, 0.500, 0.500)
Tl (0.234, 0.000, 0.758)
Tl (0.766, 0.000, 0.242)

Values from the calculation:
energy above the lowest structure with this stoichiometry: 213 meV per atom
energy relative to the elements, uncorrected: 284 meV/atom



Total magnetization (computed, μB/f.u.): 0.00 2.33 3.06 0.00 0.00 0.00